Here is crystalline BeMoBr at its relaxed geometry from Alexandria via LeMat-Bulk. Energies are from GGA-PBE.

a = 4.2206 Å, b = 4.2206 Å, c = 4.2206 Å
α = 60.00°, β = 60.00°, γ = 60.00°
Atoms (fractional coordinates):
Be: 0.0000 0.0000 0.0000
Mo: 0.7500 0.7500 0.7500
Br: 0.5000 0.5000 0.5000

Results
- Energy relative to the elements, uncorrected: 120.82 kJ per mole of atoms
- Crystal system: cubic
- SG: F-43m, No. 216
- Energy relative to the lowest polymorph listed for this composition: 705 meV per atom

---

Here is crystalline TaB2Os2 at its relaxed geometry from Alexandria via LeMat-Bulk. Energies are from GGA-PBE.

a = 6.4234 Å, b = 6.4234 Å, c = 2.8171 Å
α = 90.00°, β = 90.00°, γ = 90.00°
Atoms (fractional coordinates):
Ta: 0.0000 0.0000 0.0000
Ta: 0.5000 0.5000 0.0000
B: 0.1474 0.3526 0.0000
B: 0.3526 0.8526 0.0000
B: 0.6474 0.1474 0.0000
B: 0.8526 0.6474 0.0000
Os: 0.1479 0.6479 0.5000
Os: 0.3521 0.1479 0.5000
Os: 0.6479 0.8521 0.5000
Os: 0.8521 0.3521 0.5000

Results
- Crystal system: tetragonal
- SG: P4/mbm, No. 127
- Formation energy from the elements: -0.0701 eV/atom

---

Here is crystalline Li2AgF3 at its relaxed geometry from Alexandria via LeMat-Bulk. Energies are from GGA-PBE.

a = 5.2631 Å, b = 2.9225 Å, c = 17.5049 Å
α = 90.00°, β = 90.00°, γ = 90.00°
Atoms (fractional coordinates):
Li: 0.1057 0.2500 0.1275
Li: 0.2347 0.2500 0.4958
Li: 0.2653 0.7500 0.9958
Li: 0.3943 0.7500 0.6275
Li: 0.6057 0.2500 0.3725
Li: 0.7347 0.2500 0.0042
Li: 0.7653 0.7500 0.5042
Li: 0.8943 0.7500 0.8725
Ag: 0.1155 0.7500 0.3279
Ag: 0.3845 0.2500 0.8279
Ag: 0.6155 0.7500 0.1721
Ag: 0.8845 0.2500 0.6721
F: 0.0874 0.2500 0.9341
F: 0.0936 0.7500 0.5652
F: 0.1478 0.7500 0.1995
F: 0.3522 0.2500 0.6995
F: 0.4064 0.2500 0.0652
F: 0.4126 0.7500 0.4341
F: 0.5874 0.2500 0.5659
F: 0.5936 0.7500 0.9348
F: 0.6478 0.7500 0.3005
F: 0.8522 0.2500 0.8005
F: 0.9064 0.2500 0.4348
F: 0.9126 0.7500 0.0659

Results
- Energy relative to the elements, uncorrected: -217.01 kJ per mole of atoms
- Crystal system: orthorhombic
- SG: Pnma, No. 62
- Energy relative to the lowest polymorph listed for this composition: 20 meV per atom

---

Across the entries above, calculated total energy takes the values -4.16 -9.60 -4.30 eV/atom, respectively.
Across the entries above, size of the total moment takes the values 0.913 0.000 0.000 μB/f.u., respectively.